No. 1
PBE Hf3MoC, optimized geometry; E above lowest polymorph = 0.0000 eV per atom; total energy = -10.192 eV per atom; ρ = 12.0 g cm⁻³; M_tot = 0.0 μB/f.u.; D(E_F) = 3.02 states/eV per cell; DFT formation energy = -0.2086 eV/atom
1.0
4.463 0.000 0.000
0.000 4.463 0.000
0.000 0.000 4.463
Hf Mo C
3 1 1
direct
0.000 0.000 0.500
0.000 0.500 0.000
0.500 0.000 0.000
0.500 0.500 0.500
0.000 0.000 0.000

No. 2
PBE HfMoC3, optimized geometry; E above lowest polymorph = 0.0000 eV per atom; total energy = -8.437 eV per atom; ρ = 8.1 g cm⁻³; M_tot = 0.0 μB/f.u.; D(E_F) = 2.84 states/eV per cell; DFT formation energy = 1.2538 eV/atom
1.0
3.990 0.000 0.000
0.000 3.990 0.000
0.000 0.000 3.990
Hf Mo C
1 1 3
direct
0.000 0.000 0.000
0.500 0.500 0.500
0.000 0.500 0.500
0.500 0.000 0.500
0.500 0.500 0.000

No. 3
PBE Hf2MoC, optimized geometry; total energy = -9.986 eV per atom; ρ = 11.3 g cm⁻³; M_tot = 0.0 μB/f.u.; D(E_F) = 1.86 states/eV per cell; DFT formation energy = 0.0043 eV/atom
1.0
1.568 0.905 8.018
-1.568 0.905 8.018
0.000 -1.810 8.018
Hf Mo C
2 1 1
direct
0.112 0.112 0.112
0.888 0.888 0.888
0.000 0.000 0.000
0.500 0.500 0.500

No. 4
PBE Hf3MoC, optimized geometry; E above lowest polymorph = 2.2154 eV per atom; total energy = -7.976 eV per atom; ρ = 8.8 g cm⁻³; M_tot = 0.0 μB/f.u.; D(E_F) = 8.94 states/eV per cell; DFT formation energy = 2.0068 eV/atom
1.0
4.958 0.000 0.000
0.000 4.958 0.000
0.000 0.000 4.958
Hf Mo C
3 1 1
direct
0.000 0.000 0.500
0.000 0.500 0.000
0.500 0.000 0.000
0.000 0.000 0.000
0.500 0.500 0.500

No. 5
PBE HfMo3C, optimized geometry; E above lowest polymorph = 3.3375 eV per atom; total energy = -7.007 eV per atom; ρ = 7.3 g cm⁻³; M_tot = 0.0 μB/f.u.; D(E_F) = 3.87 states/eV per cell; DFT formation energy = 3.3272 eV/atom
1.0
4.772 0.000 0.000
0.000 4.772 0.000
0.000 0.000 4.772
Hf Mo C
1 3 1
direct
0.000 0.000 0.000
0.000 0.000 0.500
0.000 0.500 0.000
0.500 0.000 0.000
0.500 0.500 0.500

No. 6
PBE Hf2MoC, optimized geometry; total energy = -9.888 eV per atom; ρ = 10.9 g cm⁻³; M_tot = 0.0 μB/f.u.; D(E_F) = 4.46 states/eV per cell; DFT formation energy = 0.1028 eV/atom
1.0
-4.125 4.125 2.083
4.125 -4.125 2.083
4.125 4.125 -2.083
Hf Mo C
4 2 2
direct
0.375 0.233 0.358
0.767 0.125 0.142
0.875 0.017 0.642
0.983 0.625 0.858
0.250 0.750 0.500
0.500 0.500 0.000
0.000 0.000 0.000
0.750 0.250 0.500

No. 7
PBE HfMo2C, optimized geometry; total energy = -10.133 eV per atom; ρ = 10.5 g cm⁻³; M_tot = 0.0 μB/f.u.; D(E_F) = 4.10 states/eV per cell; DFT formation energy = 0.0768 eV/atom
1.0
-3.600 3.600 2.339
3.600 -3.600 2.339
3.600 3.600 -2.339
Hf Mo C
2 4 2
direct
0.000 0.000 0.000
0.750 0.250 0.500
0.234 0.625 0.109
0.375 0.484 0.609
0.516 0.125 0.891
0.875 0.766 0.391
0.250 0.750 0.500
0.500 0.500 0.000

No. 8
PBE HfMoC3, optimized geometry; E above lowest polymorph = 0.9923 eV per atom; total energy = -7.445 eV per atom; ρ = 7.1 g cm⁻³; M_tot = 2.5 μB/f.u.; D(E_F) = 2.79 states/eV per cell; DFT formation energy = 2.2461 eV/atom
1.0
4.164 0.000 0.000
0.000 4.164 0.000
0.000 0.000 4.164
Hf Mo C
1 1 3
direct
0.000 0.000 0.000
0.500 0.500 0.500
0.000 0.000 0.500
0.000 0.500 0.000
0.500 0.000 0.000

No. 9
PBE HfMo3C, optimized geometry; E above lowest polymorph = 0.0000 eV per atom; total energy = -10.344 eV per atom; ρ = 10.4 g cm⁻³; M_tot = 0.0 μB/f.u.; D(E_F) = 6.43 states/eV per cell; DFT formation energy = -0.0103 eV/atom
1.0
4.237 0.000 0.000
0.000 4.237 0.000
0.000 0.000 4.237
Hf Mo C
1 3 1
direct
0.000 0.000 0.000
0.000 0.500 0.500
0.500 0.000 0.500
0.500 0.500 0.000
0.500 0.500 0.500

No. 10
PBE HfMoC, optimized geometry; total energy = -10.237 eV per atom; ρ = 11.6 g cm⁻³; M_tot = 0.0 μB/f.u.; D(E_F) = 2.65 states/eV per cell; DFT formation energy = -0.2346 eV/atom
1.0
4.728 -1.591 0.000
4.728 1.591 0.000
-3.494 0.000 5.461
Hf Mo C
2 2 2
direct
0.081 0.081 0.359
0.919 0.919 0.641
0.320 0.320 0.916
0.680 0.680 0.084
0.328 0.328 0.317
0.672 0.672 0.683

No. 11
PBE NaHf2MoC, optimized geometry; total energy = -5.217 eV per atom; ρ = 7.8 g cm⁻³; M_tot = 0.5 μB/f.u.; D(E_F) = 4.11 states/eV per cell; DFT formation energy = 3.0388 eV/atom
1.0
4.886 0.000 0.000
0.000 4.886 0.000
0.000 0.000 4.361
Na Hf Mo C
1 2 1 1
direct
0.000 0.000 0.000
0.000 0.500 0.000
0.500 0.000 0.000
0.000 0.000 0.500
0.500 0.500 0.500

No. 12
PBE HfMoOs2C, optimized geometry; total energy = -6.911 eV per atom; ρ = 10.0 g cm⁻³; M_tot = 1.9 μB/f.u.; D(E_F) = 5.52 states/eV per cell; DFT formation energy = 3.5821 eV/atom
1.0
4.785 0.000 0.000
0.000 4.785 0.000
0.000 0.000 4.848
Hf Mo Os C
1 1 2 1
direct
0.000 0.000 0.000
0.000 0.000 0.500
0.000 0.500 0.000
0.500 0.000 0.000
0.500 0.500 0.500

No. 13
PBE HfPaMoC3, optimized geometry; total energy = -9.816 eV per atom; ρ = 9.8 g cm⁻³; M_tot = 0.0 μB/f.u.; D(E_F) = 6.22 states/eV per cell; DFT formation energy = -0.1569 eV/atom
1.0
6.985 0.000 0.000
0.000 3.292 0.000
-0.949 0.000 8.002
Hf Pa Mo C
2 2 2 6
direct
0.138 0.250 0.131
0.862 0.750 0.869
0.344 0.750 0.820
0.656 0.250 0.180
0.371 0.750 0.408
0.629 0.250 0.592
0.092 0.250 0.857
0.329 0.250 0.556
0.373 0.750 0.137
0.627 0.250 0.863
0.671 0.750 0.444
0.908 0.750 0.143

No. 14
PBE Hf2MoPbC, optimized geometry; total energy = -5.693 eV per atom; ρ = 7.8 g cm⁻³; M_tot = 1.8 μB/f.u.; D(E_F) = 8.24 states/eV per cell; DFT formation energy = 3.0409 eV/atom
1.0
5.305 0.000 0.000
0.000 5.305 0.000
0.000 0.000 5.089
Hf Mo Pb C
2 1 1 1
direct
0.000 0.500 0.000
0.500 0.000 0.000
0.000 0.000 0.500
0.000 0.000 0.000
0.500 0.500 0.500

No. 15
PBE HfMoPd2C, optimized geometry; total energy = -5.597 eV per atom; ρ = 7.4 g cm⁻³; M_tot = 0.0 μB/f.u.; D(E_F) = 3.85 states/eV per cell; DFT formation energy = 2.4817 eV/atom
1.0
4.814 0.000 0.000
0.000 4.814 0.000
0.000 0.000 4.857
Hf Mo Pd C
1 1 2 1
direct
0.000 0.000 0.000
0.000 0.000 0.500
0.000 0.500 0.000
0.500 0.000 0.000
0.500 0.500 0.500

No. 16
PBE Hf2MoPdC, optimized geometry; total energy = -9.457 eV per atom; ρ = 11.6 g cm⁻³; M_tot = 0.0 μB/f.u.; D(E_F) = 2.40 states/eV per cell; DFT formation energy = -0.4260 eV/atom
1.0
4.502 0.000 0.000
0.000 4.502 0.000
0.000 0.000 4.048
Hf Mo Pd C
2 1 1 1
direct
0.000 0.500 0.000
0.500 0.000 0.000
0.000 0.000 0.500
0.500 0.500 0.500
0.000 0.000 0.000

No. 17
PBE HfMoRhC2, optimized geometry; total energy = -6.959 eV per atom; ρ = 7.6 g cm⁻³; M_tot = 0.0 μB/f.u.; D(E_F) = 5.26 states/eV per cell; DFT formation energy = 2.3575 eV/atom
1.0
4.146 0.000 0.000
0.000 4.146 0.000
0.000 0.000 5.094
Hf Mo Rh C
1 1 1 2
direct
0.000 0.000 0.000
0.000 0.000 0.500
0.500 0.500 0.500
0.000 0.500 0.000
0.500 0.000 0.000

No. 18
PBE HfMoRu2C, optimized geometry; total energy = -9.934 eV per atom; ρ = 11.5 g cm⁻³; M_tot = 0.0 μB/f.u.; D(E_F) = 4.83 states/eV per cell; DFT formation energy = -0.2223 eV/atom
1.0
4.105 0.000 0.000
0.000 4.105 0.000
0.000 0.000 4.198
Hf Mo Ru C
1 1 2 1
direct
0.000 0.000 0.000
0.500 0.500 0.000
0.000 0.500 0.500
0.500 0.000 0.500
0.500 0.500 0.500

No. 19
PBE HfSbMoC2, optimized geometry; total energy = -6.665 eV per atom; ρ = 7.1 g cm⁻³; M_tot = 0.0 μB/f.u.; D(E_F) = 9.12 states/eV per cell; raw formation energy = 2.006 eV per atom
1.0
4.184 0.000 0.000
0.000 4.184 0.000
0.000 0.000 5.577
Hf Sb Mo C
1 1 1 2
direct
0.000 0.000 0.000
0.000 0.000 0.500
0.500 0.500 0.500
0.000 0.500 0.000
0.500 0.000 0.000

No. 20
PBE SrHf2MoC, optimized geometry; total energy = -7.197 eV per atom; ρ = 7.9 g cm⁻³; M_tot = 0.0 μB/f.u.; D(E_F) = 6.89 states/eV per cell; DFT formation energy = 1.1315 eV/atom
1.0
5.226 0.000 0.000
0.000 5.226 0.000
0.000 0.000 4.263
Sr Hf Mo C
1 2 1 1
direct
0.000 0.000 0.000
0.000 0.500 0.500
0.500 0.000 0.500
0.500 0.500 0.500
0.500 0.500 0.000

No. 21
PBE HfUMoC3, optimized geometry; total energy = -10.027 eV per atom; ρ = 10.3 g cm⁻³; M_tot = 0.0 μB/f.u.; D(E_F) = 8.70 states/eV per cell; DFT formation energy = -0.0698 eV/atom
1.0
6.948 0.000 0.000
0.000 3.206 0.000
-0.730 0.000 7.906
Hf U Mo C
2 2 2 6
direct
0.134 0.250 0.136
0.866 0.750 0.864
0.351 0.750 0.823
0.649 0.250 0.177
0.364 0.750 0.413
0.636 0.250 0.587
0.102 0.250 0.857
0.330 0.250 0.573
0.373 0.750 0.133
0.627 0.250 0.867
0.670 0.750 0.427
0.898 0.750 0.143

No. 22
PBE Hf3C2N, optimized geometry; E above lowest polymorph = 0.4775 eV per atom; total energy = -10.241 eV per atom; ρ = 12.3 g cm⁻³; M_tot = 0.0 μB/f.u.; D(E_F) = 3.37 states/eV per cell; raw formation energy = -0.802 eV per atom
1.0
4.869 -2.810 0.000
4.869 2.810 0.000
0.000 0.000 5.673
Hf C N
6 4 2
direct
0.013 0.987 0.500
0.320 0.343 0.015
0.343 0.320 0.515
0.657 0.680 0.015
0.680 0.657 0.515
0.987 0.013 0.000
0.001 0.333 0.260
0.333 0.001 0.760
0.667 0.999 0.260
0.999 0.667 0.760
0.333 0.667 0.260
0.667 0.333 0.760

No. 23
PBE Hf2CN, optimized geometry; E above lowest polymorph = 1.2458 eV per atom; total energy = -9.533 eV per atom; ρ = 13.6 g cm⁻³; M_tot = 0.0 μB/f.u.; D(E_F) = 2.14 states/eV per cell; raw formation energy = -0.169 eV per atom
1.0
0.000 2.859 2.859
2.859 0.000 2.859
2.859 2.859 0.000
Hf C N
2 1 1
direct
0.250 0.250 0.250
0.750 0.750 0.750
0.000 0.000 0.000
0.500 0.500 0.500

No. 24
PBE Hf2CN2, optimized geometry; E above lowest polymorph = 0.2788 eV per atom; total energy = -9.355 eV per atom; ρ = 9.4 g cm⁻³; M_tot = 1.4 μB/f.u.; D(E_F) = 1.63 states/eV per cell; raw formation energy = -0.199 eV per atom
1.0
-1.810 1.810 5.351
1.810 -1.810 5.351
1.810 1.810 -5.351
Hf C N
2 1 2
direct
0.154 0.154 0.000
0.846 0.846 0.000
0.500 0.500 0.000
0.250 0.750 0.500
0.750 0.250 0.500

No. 25
PBE HfCN2, optimized geometry; total energy = -8.469 eV per atom; ρ = 10.2 g cm⁻³; M_tot = 0.0 μB/f.u.; D(E_F) = 2.57 states/eV per cell; raw formation energy = 0.488 eV per atom
1.0
-2.393 2.393 3.103
2.393 -2.393 3.103
2.393 2.393 -3.103
Hf C N
2 2 4
direct
0.000 0.000 0.000
0.750 0.250 0.500
0.250 0.750 0.500
0.500 0.500 0.000
0.251 0.625 0.126
0.375 0.501 0.626
0.499 0.125 0.874
0.875 0.749 0.374

No. 26
PBE Hf6C3N, optimized geometry; total energy = -10.360 eV per atom; ρ = 12.5 g cm⁻³; M_tot = 0.0 μB/f.u.; D(E_F) = 11.14 states/eV per cell; raw formation energy = -0.789 eV per atom
1.0
9.907 0.000 0.000
0.000 3.228 0.000
-4.698 0.000 9.298
Hf C N
12 6 2
direct
0.061 0.250 0.397
0.085 0.250 0.930
0.260 0.250 0.742
0.263 0.750 0.242
0.398 0.750 0.573
0.435 0.250 0.087
0.565 0.750 0.913
0.602 0.250 0.427
0.737 0.250 0.758
0.740 0.750 0.258
0.915 0.750 0.070
0.939 0.750 0.603
0.085 0.250 0.157
0.161 0.750 0.568
0.486 0.250 0.737
0.514 0.750 0.263
0.839 0.250 0.432
0.915 0.750 0.843
0.342 0.750 0.917
0.658 0.250 0.083